Entry from Alexandria via LeMat-Bulk: a geometry-optimized TbZr2Ta structure (PBE).

abc: 3.1692 3.1692 33.2354
angles: 90.00 90.00 120.00
Space group R-3m (No. 166, hexagonal axes)
Asymmetric unit:
Tb 0.0000 0.0000 0.0000 [3 per cell]
Zr 0.0000 0.0000 0.0948 [6 per cell]
Ta 0.0000 0.0000 0.5000 [3 per cell]

Properties
Density of states at the Fermi level: 16.11 states/eV/cell
Total energy: -96.75 eV per cell
Relative energy among the computed polymorphs: 178.7 meV per atom
ΔE_f: 0.333 eV/atom
Magnetization: 0.00 μB per formula unit
Calculated volume: 24.09 Å³ per atom
Theoretical density: 9.0 g/cm3